# NaSrZnPd2

A relaxed structure of NaSrZnPd2 (GGA-PBE, Alexandria via LeMat-Bulk).

a b c (Å): 5.291 6.146 5.291
angles (deg): 90.00 90.00 90.00
Atoms (fractional coordinates):
Sr: 0.000 0.000 0.000
Zn: 0.500 0.500 0.500
Pd: 0.000 0.000 0.500
Pd: 0.500 0.000 0.000
Na: 0.000 0.500 0.000

Values from the calculation:
For the energy, the calculation gives -2.162 eV/atom. Its space-group type is P4/mmm. The calculation puts the formation energy at 0.770 eV per atom. The density of states at the Fermi level comes out at 3.77 states/eV/f.u.

***

# ReSe2Br

A relaxed structure of ReSe2Br (GGA-PBE, Alexandria via LeMat-Bulk).

a b c (Å): 3.338 6.363 6.549
angles (deg): 62.33 90.00 90.00
Atoms (fractional coordinates):
Br: 0.000 0.628 0.565
Re: 0.500 0.652 0.853
Se: 0.000 0.905 0.893
Se: 0.500 0.315 0.190

Values from the calculation:
For the energy, the calculation gives -5.273 eV/atom. Its space-group type is Pm. As for the energy relative to the elements, uncorrected: -1 meV/atom. The density of states at the Fermi level comes out at 0.26 states/eV/f.u. The energy above the lowest structure with this stoichiometry is 0.009 eV/atom.

***

For the records above, the corresponding calculated volume values read 172.09; 123.18 Å³/cell.